# 1
PBE HoSi2Tc, relaxed; crystal system = trigonal; raw formation energy = 103.58 kJ per mole of atoms; space-group type = No. 166; V = 114.64 Å³/cell; ΔE to the lowest computed polymorph = 1767 meV/atom; raw total energy = -5.37 eV/atom; N(E_F) = 2.98 states/eV/cell
1.0
4.635 0.000 0.000
2.318 4.014 0.000
2.318 1.338 6.161
Si Ho Tc
2 1 1
direct
0.126 0.126 0.623
0.874 0.874 0.377
0.500 0.500 0.500
0.000 0.000 0.000

# 2
PBE HoSiTc, relaxed; crystal system = orthorhombic; raw formation energy = -52.62 kJ per mole of atoms; space-group type = No. 51; V = 324.49 Å³/cell; ΔE to the lowest computed polymorph = 57 meV/atom; raw total energy = -7.33 eV/atom; N(E_F) = 16.47 states/eV/cell
1.0
-2.377 -1.042 2.490
4.393 -5.154 2.037
5.372 7.915 8.442
Tc Ho Si
6 6 6
direct
0.500 0.585 0.869
0.500 0.802 0.250
0.500 0.585 0.631
0.500 0.198 0.750
0.500 0.415 0.131
0.500 0.415 0.369
0.000 0.728 0.452
0.000 0.728 0.048
0.000 0.272 0.548
0.000 0.151 0.250
0.000 0.272 0.952
0.000 0.849 0.750
0.500 0.946 0.591
0.000 0.553 0.250
0.500 0.054 0.091
0.500 0.054 0.409
0.000 0.447 0.750
0.500 0.946 0.909

# 3
PBE HoSi2Tc2, relaxed; crystal system = monoclinic; raw formation energy = -60.19 kJ per mole of atoms; space-group type = No. 12; V = 85.73 Å³/cell; ΔE to the lowest computed polymorph = 0 meV/atom; raw total energy = -7.86 eV/atom; N(E_F) = 4.27 states/eV/cell
1.0
3.927 -0.263 1.245
-0.136 3.933 1.245
0.360 0.348 5.801
Tc Si Ho
2 2 1
direct
0.251 0.749 0.500
0.749 0.251 0.500
0.377 0.377 0.245
0.623 0.623 0.755
0.000 0.000 0.000

# 4
PBE HoSi3Tc3, relaxed; crystal system = cubic; raw formation energy = 17.96 kJ per mole of atoms; space-group type = No. 223; V = 281.87 Å³/cell; raw total energy = -7.23 eV/atom; N(E_F) = 14.07 states/eV/cell
1.0
-4.522 4.615 -1.115
-4.520 -3.714 2.960
1.452 2.810 5.743
Ho Tc Si
2 6 6
direct
0.000 0.000 0.000
0.500 0.500 0.500
0.500 0.250 0.000
0.500 0.750 0.000
0.750 0.000 0.500
0.000 0.500 0.250
0.000 0.500 0.750
0.250 0.000 0.500
0.500 0.000 0.750
0.250 0.500 0.000
0.750 0.500 0.000
0.000 0.250 0.500
0.500 0.000 0.250
0.000 0.750 0.500

The highest V belongs to which entry?
HoSiTc

Among the records above, which one has the lowest raw formation energy?
HoSi2Tc2